Tm4Co2H: optimized geometry, PBE.

Properties
**SG**: C2/m (12)
**N(E_F)**: 6.22 states/eV/f.u.
**V**: 19.66 Å³ per atom
**M_tot**: 0.00 μB/cell
**Total energy**: -74.93 eV for the cell shown

a b c (Å): 13.581 3.697 5.576
angles (deg): 90.00 100.46 90.00
Fractional positions:
Tm 0.080 0.000 0.281
Tm 0.157 0.500 0.828
Tm 0.343 0.000 0.172
Tm 0.420 0.500 0.719
Tm 0.580 0.500 0.281
Tm 0.657 0.000 0.828
Tm 0.843 0.500 0.172
Tm 0.920 0.000 0.719
Co 0.233 0.500 0.374
Co 0.267 0.000 0.626
Co 0.733 0.000 0.374
Co 0.767 0.500 0.626
H 0.000 0.500 0.000
H 0.500 0.000 0.000